[1]
Compound: BaAc12Ge7
Source: Alexandria
Functional: PBE-GGA
Structure: relaxed

Properties
total energy	-4.618	eV per atom

Cell and atoms, written as CIF:
```
data_BaAc12Ge7
_chemical_formula_sum 'Ba1 Ac12 Ge7'
_symmetry_space_group_name_H-M 'P 1'
_symmetry_Int_Tables_number 1
_cell_length_a 9.931
_cell_length_b 9.931
_cell_length_c 9.931
_cell_angle_alpha 110.59
_cell_angle_beta 110.59
_cell_angle_gamma 110.59
loop_
_symmetry_equiv_pos_as_xyz
'x,y,z'
loop_
_atom_site_label
_atom_site_fract_x
_atom_site_fract_y
_atom_site_fract_z
Ba1 0.000 0.000 0.000
Ac1 0.000 0.264 0.736
Ac2 0.000 0.736 0.264
Ac3 0.170 0.470 0.470
Ac4 0.264 0.000 0.736
Ac5 0.264 0.736 0.000
Ac6 0.470 0.170 0.470
Ac7 0.470 0.470 0.170
Ac8 0.530 0.530 0.830
Ac9 0.530 0.830 0.530
Ac10 0.736 0.000 0.264
Ac11 0.736 0.264 0.000
Ac12 0.830 0.530 0.530
Ge1 0.138 0.138 0.474
Ge2 0.138 0.474 0.138
Ge3 0.474 0.138 0.138
Ge4 0.500 0.500 0.500
Ge5 0.526 0.862 0.862
Ge6 0.862 0.526 0.862
Ge7 0.862 0.862 0.526
```

***

[2]
Compound: GaAu
Source: Alexandria
Functional: PBE-GGA
Structure: relaxed

Properties
total energy	-3.328	eV per atom

Cell and atoms, written as CIF:
```
data_GaAu
_chemical_formula_sum 'Ga4 Au4'
_symmetry_space_group_name_H-M 'P 1'
_symmetry_Int_Tables_number 1
_cell_length_a 6.736
_cell_length_b 6.736
_cell_length_c 6.736
_cell_angle_alpha 97.71
_cell_angle_beta 97.71
_cell_angle_gamma 137.04
loop_
_symmetry_equiv_pos_as_xyz
'x,y,z'
loop_
_atom_site_label
_atom_site_fract_x
_atom_site_fract_y
_atom_site_fract_z
Ga1 0.111 0.611 0.722
Ga2 0.389 0.111 0.500
Ga3 0.611 0.889 0.500
Ga4 0.889 0.389 0.278
Au1 0.183 0.317 0.500
Au2 0.317 0.817 0.133
Au3 0.683 0.183 0.867
Au4 0.817 0.683 0.500
```